The following is a SCAN calculation of a crystal of Li4Ti3NbO8 relaxed with PBEsol, from Alexandria.

abc: 6.022 6.022 6.022
angles: 57.30 57.30 57.30
Fractional coordinates of all 16 atoms:
Li 0.000 0.000 0.000
Li 0.000 0.500 0.500
Li 0.500 0.000 0.500
Li 0.500 0.500 0.000
Ti 0.000 0.000 0.500
Ti 0.000 0.500 0.000
Ti 0.500 0.000 0.000
Nb 0.500 0.500 0.500
O 0.241 0.754 0.754
O 0.244 0.244 0.244
O 0.246 0.246 0.759
O 0.246 0.759 0.246
O 0.754 0.241 0.754
O 0.754 0.754 0.241
O 0.756 0.756 0.756
O 0.759 0.246 0.246

**D(E_F)**: 5.8 states/eV/cell
**E_form (uncorrected)**: -43.136 eV per formula unit